NiSbWI2 | PBE | relaxed

Lattice parameters (Å, degrees): 5.4957 5.4957 5.2518 90.00 90.00 90.00
Space group P4/mmm (No. 123)
Inequivalent atoms, fractional coordinates:
1 Ni 0.0000 0.0000 0.0000 [1 per cell]
2 Sb 0.5000 0.5000 0.0000 [1 per cell]
3 W 0.5000 0.5000 0.5000 [1 per cell]
4 I 0.0000 0.5000 0.5000 [2 per cell]

Values from the calculation:
relative energy among the computed polymorphs: 0.0 meV/atom
formation energy without anion corrections: 1.31 eV per atom